[1]
BaMg2Hg10, optimized geometry, DFT GGA-PBE; symmetry = Fmmm; crystal system = orthorhombic; formation energy from the elements = -0.182 eV per atom
1.0
0.000 7.092 7.538
3.161 0.000 7.538
3.161 7.092 0.000
Ba Mg Hg
1 2 10
direct
0.000 0.000 0.000 Ba
0.000 0.500 0.000 Mg
0.500 0.000 0.500 Mg
0.000 0.000 0.500 Hg
0.012 0.346 0.654 Hg
0.278 0.496 0.504 Hg
0.346 0.012 0.988 Hg
0.496 0.278 0.722 Hg
0.500 0.500 0.000 Hg
0.504 0.722 0.278 Hg
0.654 0.988 0.012 Hg
0.722 0.504 0.496 Hg
0.988 0.654 0.346 Hg

---

[2]
TlInBr2, optimized geometry, DFT GGA-PBE; symmetry = P2/m; formation energy (no corrections) = -0.71 eV per atom; crystal system = monoclinic; distance to the lowest polymorph of the same formula = 0.17 eV per formula unit
1.0
4.016 0.000 0.000
0.000 4.013 0.000
-0.028 0.000 8.038
Tl In Br
1 1 2
direct
0.000 0.000 0.000 Tl
0.000 0.000 0.500 In
0.499 0.500 0.749 Br
0.501 0.500 0.251 Br

---

[3]
SmAl2Pt, optimized geometry, DFT GGA-PBE; symmetry = R-3m; crystal system = trigonal; formation energy from the elements = -0.863 eV per atom
1.0
2.126 1.228 5.247
-2.126 1.228 5.247
0.000 -2.455 5.247
Sm Al Pt
1 2 1
direct
0.000 0.000 0.000 Sm
0.210 0.210 0.210 Al
0.790 0.790 0.790 Al
0.500 0.500 0.500 Pt

---

[4]
Zn2SbTe, optimized geometry, DFT GGA-PBE; symmetry = F-43m; formation energy (no corrections) = 0.31 eV per atom; crystal system = cubic
1.0
0.000 3.620 3.620
3.620 0.000 3.620
3.620 3.620 0.000
Zn Sb Te
2 1 1
direct
0.000 0.000 0.000 Zn
0.250 0.250 0.250 Zn
0.500 0.500 0.500 Sb
0.750 0.750 0.750 Te